# 1
DFT (GGA-PBE) results for crystalline Pm7YSc2 at its relaxed geometry.

```
data_Pm7YSc2
_chemical_formula_sum 'Pm14 Y2 Sc4'
_cell_length_a 8.964
_cell_length_b 15.409
_cell_length_c 5.595
_cell_angle_alpha 90.00
_cell_angle_beta 90.00
_cell_angle_gamma 90.00
_space_group_name_H-M_alt 'C m m m'
_space_group_IT_number 65
_space_group_name_Hall '-C 2 2'
loop_
_atom_site_label
_atom_site_fract_x
_atom_site_fract_y
_atom_site_fract_z
Pm1 0.000 0.000 0.000
Pm2 0.000 0.253 0.500
Pm3 0.183 0.379 0.000
Y1 0.000 0.500 0.500
Sc1 0.000 0.204 0.000
```

E_tot (eV/atom): -4.63
Energy relative to the elements (eV/f.u.): 6.05
DOS(E_F) (states/eV per atom): 1.3807

***

# 2
DFT (GGA-PBE) results for crystalline AcPmDy2Se6 at its relaxed geometry.

```
data_AcPmDy2Se6
_chemical_formula_sum 'Ac3 Pm3 Dy6 Se18'
_cell_length_a 7.4432
_cell_length_b 7.4432
_cell_length_c 19.5577
_cell_angle_alpha 90.00
_cell_angle_beta 90.00
_cell_angle_gamma 120.00
_space_group_name_H-M_alt 'R 3'
_space_group_IT_number 146
_space_group_name_Hall 'R 3'
loop_
_atom_site_label
_atom_site_fract_x
_atom_site_fract_y
_atom_site_fract_z
Ac1 0.0000 0.0000 0.0000
Pm1 0.0000 0.0000 0.4905
Dy1 0.0000 0.0000 0.2884
Dy2 0.0000 0.0000 0.7931
Se1 0.0172 0.3130 0.8857
Se2 0.0205 0.6219 0.0524
```

E_tot (eV/atom): -5.78
E_form (uncorrected) (meV per atom): -1883
DOS(E_F) (states/eV per atom): 0.0000

***

# 3
DFT (GGA-PBE) results for crystalline KZnCo2 at its relaxed geometry.

```
data_KZnCo2
_chemical_formula_sum 'K2 Zn2 Co4'
_cell_length_a 3.971
_cell_length_b 3.971
_cell_length_c 8.842
_cell_angle_alpha 90.00
_cell_angle_beta 90.00
_cell_angle_gamma 90.00
_space_group_name_H-M_alt 'I 4/m m m'
_space_group_IT_number 139
_space_group_name_Hall '-I 4 2'
loop_
_atom_site_label
_atom_site_fract_x
_atom_site_fract_y
_atom_site_fract_z
K1 0.000 0.000 0.000
Zn1 0.000 0.000 0.500
Co1 0.000 0.500 0.250
```

E_tot (eV/atom): -3.04
Energy relative to the elements (eV/f.u.): 4.42
DOS(E_F) (states/eV per atom): 1.0913

***

# 4
DFT (GGA-PBE) results for crystalline K3Ce2CuS6 at its relaxed geometry.

```
data_K3Ce2CuS6
_chemical_formula_sum 'K6 Ce4 Cu2 S12'
_cell_length_a 6.785
_cell_length_b 12.768
_cell_length_c 7.592
_cell_angle_alpha 90.00
_cell_angle_beta 106.43
_cell_angle_gamma 90.00
_space_group_name_H-M_alt 'C 1 2/m 1'
_space_group_IT_number 12
loop_
_space_group_symop_operation_xyz
'x,y,z'
'-x,-y,-z'
'-x,y,-z'
'x,-y,z'
'x+1/2,y+1/2,z'
'-x+1/2,-y+1/2,-z'
'-x+1/2,y+1/2,-z'
'x+1/2,-y+1/2,z'
loop_
_atom_site_label
_atom_site_fract_x
_atom_site_fract_y
_atom_site_fract_z
K1 0.000 0.000 0.000
K2 0.000 0.345 0.000
Ce1 0.000 0.165 0.500
Cu1 0.000 0.500 0.500
S1 0.240 0.500 0.329
S2 0.248 0.316 0.714
```

E_tot (eV/atom): -5.05
E_form (uncorrected) (meV per atom): -1380
DOS(E_F) (states/eV per atom): 0.0888

***

# 5
DFT (GGA-PBE) results for crystalline CeHo2Th at its relaxed geometry.

```
data_CeHo2Th
_chemical_formula_sum 'Ce1 Ho2 Th1'
_cell_length_a 3.517
_cell_length_b 3.517
_cell_length_c 10.081
_cell_angle_alpha 90.00
_cell_angle_beta 90.00
_cell_angle_gamma 90.00
_space_group_name_H-M_alt 'P 4/m m m'
_space_group_IT_number 123
_space_group_name_Hall '-P 4 2'
loop_
_atom_site_label
_atom_site_fract_x
_atom_site_fract_y
_atom_site_fract_z
Ce1 0.000 0.000 0.000
Ho1 0.500 0.500 0.251
Th1 0.000 0.000 0.500
```

E_tot (eV/atom): -5.56
Energy relative to the elements (eV/f.u.): 0.28
DOS(E_F) (states/eV per atom): 1.8316

***

# 6
DFT (GGA-PBE) results for crystalline HoHg6Pd12 at its relaxed geometry.

```
data_HoHg6Pd12
_chemical_formula_sum 'Ho3 Hg18 Pd36'
_cell_length_a 11.1951
_cell_length_b 11.1951
_cell_length_c 9.6507
_cell_angle_alpha 90.00
_cell_angle_beta 90.00
_cell_angle_gamma 120.00
_space_group_name_H-M_alt 'R -3 m'
_space_group_IT_number 166
_space_group_name_Hall '-R 3 2"'
loop_
_atom_site_label
_atom_site_fract_x
_atom_site_fract_y
_atom_site_fract_z
Ho1 0.0000 0.0000 0.0000
Hg1 0.0890 0.1781 0.7348
Pd1 0.0000 0.2549 0.0000
Pd2 0.0592 0.5296 0.1227
```

E_tot (eV/atom): -3.75
Energy relative to the elements (eV/f.u.): -2.55
DOS(E_F) (states/eV per atom): 0.5735

***

# 7
DFT (GGA-PBE) results for crystalline Zn5CoCu at its relaxed geometry.

```
data_Zn5CoCu
_chemical_formula_sum 'Zn20 Co4 Cu4'
_cell_length_a 7.529
_cell_length_b 7.945
_cell_length_c 6.734
_cell_angle_alpha 90.00
_cell_angle_beta 90.00
_cell_angle_gamma 90.00
_space_group_name_H-M_alt 'I m m a'
_space_group_IT_number 74
_space_group_name_Hall '-I 2b 2'
loop_
_atom_site_label
_atom_site_fract_x
_atom_site_fract_y
_atom_site_fract_z
Zn1 0.000 0.250 0.192
Zn2 0.202 0.250 0.505
Zn3 0.250 0.002 0.750
Co1 0.000 0.000 0.500
Cu1 0.000 0.250 0.804
```

E_tot (eV/atom): -2.51
Energy relative to the elements (eV/f.u.): -0.01
DOS(E_F) (states/eV per atom): 0.4519

***

# 8
DFT (GGA-PBE) results for crystalline La3Ho4Er at its relaxed geometry.

```
data_La3Ho4Er
_chemical_formula_sum 'La6 Ho8 Er2'
_cell_length_a 3.505
_cell_length_b 11.797
_cell_length_c 13.076
_cell_angle_alpha 90.00
_cell_angle_beta 90.00
_cell_angle_gamma 90.00
_space_group_name_H-M_alt 'I m m m'
_space_group_IT_number 71
_space_group_name_Hall '-I 2 2'
loop_
_atom_site_label
_atom_site_fract_x
_atom_site_fract_y
_atom_site_fract_z
La1 0.000 0.000 0.000
La2 0.000 0.500 0.244
Ho1 0.000 0.245 0.366
Er1 0.000 0.000 0.500
```

E_tot (eV/atom): -4.57
Energy relative to the elements (eV/f.u.): 1.10
DOS(E_F) (states/eV per atom): 1.5931